Entry 1:
PBE MnNbPd3, relaxed; density of states at the Fermi level = 11.85 states/eV/cell; symmetry = No. 221; theoretical density = 8.50 g/cm3; E = -5.880 eV/atom; formation enthalpy at 0 K = 1.083 eV/atom; magnetization = 0.00 μB per cell
1.0
4.501 0.000 0.000
0.000 4.501 0.000
0.000 0.000 4.501
Mn Nb Pd
1 1 3
direct
0.000 0.000 0.000 Mn
0.500 0.500 0.500 Nb
0.000 0.000 0.500 Pd
0.000 0.500 0.000 Pd
0.500 0.000 0.000 Pd

=====

Entry 2:
PBE AcPrY2P4, relaxed; density of states at the Fermi level = 0.76 states/eV/cell; symmetry = No. 10; theoretical density = 5.40 g/cm3; E = -6.956 eV/atom; formation enthalpy at 0 K = -1.524 eV/atom; magnetization = 0.00 μB per cell
1.0
7.227 0.000 0.000
0.000 4.174 0.000
-2.406 0.000 6.820
Ac Pr Y P
1 1 2 4
direct
0.000 0.000 0.000 Ac
0.000 0.500 0.500 Pr
0.500 0.000 0.500 Y
0.500 0.500 0.000 Y
0.265 0.000 0.750 P
0.269 0.500 0.262 P
0.731 0.500 0.738 P
0.735 0.000 0.250 P

=====

Entry 3:
PBE FePb3Br, relaxed; density of states at the Fermi level = 2.57 states/eV/cell; symmetry = No. 221; theoretical density = 9.06 g/cm3; E = -4.253 eV/atom; magnetization = 1.00 μB per cell
1.0
5.179 0.000 0.000
0.000 5.179 0.000
0.000 0.000 5.179
Fe Pb Br
1 3 1
direct
0.000 0.000 0.000 Fe
0.000 0.000 0.500 Pb
0.000 0.500 0.000 Pb
0.500 0.000 0.000 Pb
0.500 0.500 0.500 Br

=====

Entry 4:
PBE Li8ZnGe2, relaxed; density of states at the Fermi level = 3.00 states/eV/cell; symmetry = No. 71; theoretical density = 2.43 g/cm3; E = -2.578 eV/atom; formation enthalpy at 0 K = -0.230 eV/atom; magnetization = 0.00 μB per cell
1.0
-2.243 3.053 6.655
2.243 -3.053 6.655
2.243 3.053 -6.655
Li Zn Ge
8 1 2
direct
0.110 0.339 0.771 Li
0.173 0.173 0.000 Li
0.285 0.000 0.285 Li
0.431 0.661 0.771 Li
0.569 0.339 0.229 Li
0.715 0.000 0.715 Li
0.827 0.827 0.000 Li
0.890 0.661 0.229 Li
0.000 0.500 0.500 Zn
0.320 0.820 0.500 Ge
0.680 0.180 0.500 Ge

=====

Entry 5:
PBE CrTc, relaxed; density of states at the Fermi level = 3.81 states/eV/cell; symmetry = No. 194; theoretical density = 8.44 g/cm3; E = -9.327 eV/atom; formation enthalpy at 0 K = 0.668 eV/atom; magnetization = 0.00 μB per cell
1.0
3.809 0.000 0.000
-1.904 3.298 0.000
0.000 0.000 4.700
Cr Tc
2 2
direct
0.000 0.000 0.000 Cr
0.000 0.000 0.500 Cr
0.333 0.667 0.250 Tc
0.667 0.333 0.750 Tc

=====

Entry 6:
PBE NdEr2Hf, relaxed; density of states at the Fermi level = 5.60 states/eV/cell; symmetry = No. 160; theoretical density = 9.43 g/cm3; E = -5.852 eV/atom; formation enthalpy at 0 K = 0.110 eV/atom; magnetization = 0.00 μB per cell
1.0
1.721 0.994 11.275
-1.721 0.994 11.275
0.000 -1.987 11.275
Nd Er Hf
1 2 1
direct
0.000 0.000 0.000 Nd
0.576 0.576 0.576 Er
0.756 0.756 0.756 Er
0.166 0.166 0.166 Hf

=====

Entry 7:
PBE Pu8ThRu6, relaxed; density of states at the Fermi level = 33.72 states/eV/cell; symmetry = No. 148; theoretical density = 16.02 g/cm3; E = -11.803 eV/atom; formation enthalpy at 0 K = 0.046 eV/atom; magnetization = 8.42 μB per cell
1.0
3.145 1.816 8.440
-3.145 1.816 8.440
0.000 -3.632 8.440
Pu Th Ru
8 1 6
direct
0.024 0.686 0.362 Pu
0.187 0.187 0.187 Pu
0.314 0.638 0.976 Pu
0.362 0.024 0.686 Pu
0.638 0.976 0.314 Pu
0.686 0.362 0.024 Pu
0.813 0.813 0.813 Pu
0.976 0.314 0.638 Pu
0.500 0.500 0.500 Th
0.095 0.368 0.831 Ru
0.169 0.905 0.632 Ru
0.368 0.831 0.095 Ru
0.632 0.169 0.905 Ru
0.831 0.095 0.368 Ru
0.905 0.632 0.169 Ru

=====

Entry 8:
PBE Zn2HgPb, relaxed; density of states at the Fermi level = 1.46 states/eV/cell; symmetry = No. 47; theoretical density = 9.97 g/cm3; E = -1.478 eV/atom; formation enthalpy at 0 K = 0.162 eV/atom; magnetization = 0.00 μB per cell
1.0
3.462 0.000 0.000
0.000 3.801 0.000
0.000 0.000 6.819
Zn Hg Pb
2 1 1
direct
0.000 0.000 0.215 Zn
0.000 0.000 0.785 Zn
0.500 0.500 0.000 Hg
0.500 0.500 0.500 Pb

=====

Entry 9:
PBE GaSnP, relaxed; density of states at the Fermi level = 2.32 states/eV/cell; symmetry = No. 160; theoretical density = 5.41 g/cm3; E = -4.171 eV/atom; formation enthalpy at 0 K = -0.024 eV/atom; magnetization = 0.00 μB per cell
1.0
1.897 1.095 10.810
-1.897 1.095 10.810
0.000 -2.191 10.810
Ga Sn P
2 2 2
direct
0.000 0.000 0.000 Ga
0.480 0.480 0.480 Ga
0.084 0.084 0.084 Sn
0.240 0.240 0.240 Sn
0.636 0.636 0.636 P
0.851 0.851 0.851 P

=====

Entry 10:
PBE MnGaHOs, relaxed; density of states at the Fermi level = 2.53 states/eV/cell; symmetry = No. 8; theoretical density = 11.07 g/cm3; E = -6.457 eV/atom; magnetization = 0.33 μB per cell
1.0
3.785 -1.829 0.000
3.785 1.829 0.000
-2.160 0.000 3.421
Mn Ga H Os
1 1 1 1
direct
0.000 0.000 0.000 Mn
0.791 0.791 0.290 Ga
0.491 0.491 0.018 H
0.221 0.221 0.721 Os

=====

Entry 11:
PBE HoEr6Zn, relaxed; density of states at the Fermi level = 10.17 states/eV/cell; symmetry = No. 148; theoretical density = 8.78 g/cm3; E = -4.104 eV/atom; formation enthalpy at 0 K = 0.050 eV/atom; magnetization = 0.00 μB per cell
1.0
4.579 2.643 3.215
-4.579 2.643 3.215
0.000 -5.287 3.215
Ho Er Zn
1 6 1
direct
0.000 0.000 0.000 Ho
0.075 0.544 0.263 Er
0.263 0.075 0.544 Er
0.456 0.737 0.925 Er
0.544 0.263 0.075 Er
0.737 0.925 0.456 Er
0.925 0.456 0.737 Er
0.500 0.500 0.500 Zn

=====

Entry 12:
PBE MgCrW2, relaxed; density of states at the Fermi level = 3.21 states/eV/cell; symmetry = No. 123; theoretical density = 11.67 g/cm3; E = -8.829 eV/atom; formation enthalpy at 0 K = 0.452 eV/atom; magnetization = 0.00 μB per cell
1.0
2.969 0.000 0.000
0.000 2.969 0.000
0.000 0.000 7.167
Mg Cr W
1 1 2
direct
0.000 0.000 0.000 Mg
0.000 0.000 0.500 Cr
0.500 0.500 0.290 W
0.500 0.500 0.710 W